VASP calculation (PBE-GGA) on a relaxed structure of TcBiTeN2.

Computed properties:
Fermi-level density of states: 0.797 states/eV/atom
energy: -29.73 eV for the cell shown
crystal system: tetragonal
magnetic moment: 0.06 μB/cell

a = 4.093 Å, b = 4.093 Å, c = 5.555 Å
α = 90.00°, β = 90.00°, γ = 90.00°
Space group P4/mmm (No. 123)
Symmetry-distinct sites (fractional):
Tc 0.000 0.000 0.000
Bi 0.500 0.500 0.500
Te 0.000 0.000 0.500
N 0.000 0.500 0.000